# 1
First-principles (PBE) data for crystalline YBe5Fe7 at its relaxed geometry, as listed in Alexandria.

* energy: -6.62 eV per atom
* total magnetic moment: 13.213 Bohr magnetons per cell
* volume: 11.082 Å³ per atom
* energy of formation from the pure elements: -0.1279 eV per atom
* SG: Imm2, No. 44

Unit cell a=4.5162 b=6.0827 c=6.0827 alpha=81.58 beta=68.21 gamma=68.21
Each line ends with the local moment (μB).
Positions (direct):
Y 0.0020 0.9980 0.9980  -0.13
Be 0.4982 0.9987 0.5052  -0.08
Be 0.9979 0.9987 0.5052  -0.08
Be 0.4982 0.5052 0.9987  -0.08
Be 0.9979 0.5052 0.9987  -0.08
Be 0.7327 0.7673 0.7673  -0.06
Fe 0.6424 0.3576 0.3576  2.13
Fe 0.3612 0.6388 0.6388  1.92
Fe 0.0000 0.3575 0.6426  2.14
Fe 0.0000 0.6426 0.3575  2.14
Fe 0.2743 0.2257 0.2257  1.98
Fe 0.4976 0.7799 0.2249  1.82
Fe 0.4976 0.2249 0.7799  1.82


# 2
First-principles (PBE) data for crystalline Pr2IrC2N6 at its relaxed geometry, as listed in Alexandria.

* energy: -8.21 eV per atom
* total magnetic moment: 0.000 Bohr magnetons per cell
* volume: 11.172 Å³ per atom
* SG: R-3m, No. 166
* raw formation energy: -0.3152 eV/atom

Unit cell a=5.1519 b=5.1519 c=6.1182 alpha=65.10 beta=65.10 gamma=60.00
Positions (direct):
Pr 0.7803 0.7803 0.6592
Pr 0.2197 0.2197 0.3408
Ir 0.0000 0.0000 0.0000
C 0.4103 0.4103 0.7692
C 0.5897 0.5897 0.2308
N 0.7368 0.7368 0.2497
N 0.2768 0.7368 0.2497
N 0.7368 0.2768 0.2497
N 0.2632 0.7232 0.7503
N 0.7232 0.2632 0.7503
N 0.2632 0.2632 0.7503


# 3
First-principles (PBE) data for crystalline RbCdF3 at its relaxed geometry, as listed in Alexandria.

* energy: -3.61 eV per atom
* total magnetic moment: 0.000 Bohr magnetons per cell
* volume: 19.522 Å³ per atom
* SG: I-4m2, No. 119
* raw formation energy: -2.1154 eV/atom

Unit cell a=5.0686 b=5.0686 c=8.4016 alpha=72.44 beta=72.44 gamma=90.00
Positions (direct):
F 0.1516 0.8906 0.2187
F 0.1094 0.8484 0.7813
F 0.1094 0.3703 0.7813
F 0.6297 0.8906 0.2187
F 0.2775 0.2775 0.4451
F 0.7225 0.7225 0.5549
Rb 0.6435 0.1435 0.7131
Rb 0.8565 0.3565 0.2869
Cd 0.0000 0.0000 0.0000
Cd 0.2500 0.7500 0.5000